This record from Alexandria describes a geometry-optimized Sr3FeCu2O6 structure. The functional is PBE with a Hubbard U.

```
Sr3FeCu2O6
1.0
5.769 0.000 0.000
-2.885 4.996 0.000
0.000 0.000 6.313
Sr Fe Cu O
3 1 2 6
Direct
0.000 0.000 0.000 Sr
0.333 0.667 0.634 Sr
0.667 0.333 0.366 Sr
0.000 0.000 0.500 Fe
0.333 0.667 0.176 Cu
0.667 0.333 0.824 Cu
0.162 0.323 0.309 O
0.162 0.838 0.309 O
0.323 0.162 0.691 O
0.677 0.838 0.309 O
0.838 0.162 0.691 O
0.838 0.677 0.691 O
```

Its total magnetization is 3.94 μB/f.u. For the total energy, the calculation gives -5.701 eV/atom.